Below is an optimized crystal structure of Cs2Tl2F, with properties calculated at the PBE level.

Properties
* magnetization: 0.0 μB per formula unit
* energy relative to the elements, uncorrected: -0.933 eV/atom

Lattice parameters (Å, degrees): 4.3366 4.3366 21.6247 90.00 90.00 90.00
Space group I4/mmm (No. 139)
One atom of each set of equivalent atoms:
Cs  0.0000  0.0000  0.0850 (multiplicity 4)
Tl  0.0000  0.5000  0.2500 (multiplicity 4)
F  0.0000  0.0000  0.5000 (multiplicity 2)